Record 1
# Ba3InFe2O6, relaxed, DFT PBE with a Hubbard U
data_Ba3InFe2O6
_chemical_formula_sum 'Ba3 In1 Fe2 O6'
_cell_length_a 6.1335
_cell_length_b 6.1335
_cell_length_c 7.0810
_cell_angle_alpha 90.00
_cell_angle_beta 90.00
_cell_angle_gamma 120.00
_space_group_name_H-M_alt 'P -3 m 1'
_space_group_IT_number 164
_space_group_name_Hall '-P 3 2"'
loop_
_atom_site_label
_atom_site_fract_x
_atom_site_fract_y
_atom_site_fract_z
Ba1 0.0000 0.0000 0.0000
Ba2 0.3333 0.6667 0.6506
In1 0.0000 0.0000 0.5000
Fe1 0.3333 0.6667 0.2177
O1 0.1634 0.3268 0.3079
# N(E_F) (states/eV/cell): 1.41
# Magnetization (μB per cell): 8.45
# E (eV per atom): -5.944

Record 2
# Ba2InFe2O6, relaxed, DFT PBE with a Hubbard U
data_Ba2InFe2O6
_chemical_formula_sum 'Ba6 In3 Fe6 O18'
_cell_length_a 6.0935
_cell_length_b 6.0935
_cell_length_c 16.9162
_cell_angle_alpha 90.00
_cell_angle_beta 90.00
_cell_angle_gamma 120.00
_space_group_name_H-M_alt 'R -3 m'
_space_group_IT_number 166
_space_group_name_Hall '-R 3 2"'
loop_
_atom_site_label
_atom_site_fract_x
_atom_site_fract_y
_atom_site_fract_z
Ba1 0.0000 0.0000 0.2151
In1 0.0000 0.0000 0.0000
Fe1 0.0000 0.0000 0.4244
O1 0.0161 0.5080 0.7506
# Magnetization (μB per cell): 27.00
# E (eV per atom): -6.162